# LaInCoO3 (GGA+U, optimized geometry)
data_LaInCoO3
_chemical_formula_sum 'La4 In4 Co4 O12'
_cell_length_a 3.877
_cell_length_b 11.317
_cell_length_c 8.572
_cell_angle_alpha 90.00
_cell_angle_beta 90.00
_cell_angle_gamma 90.00
_symmetry_space_group_name_H-M 'C m c m'
_symmetry_Int_Tables_number 63
_symmetry_space_group_name_Hall '-C 2c 2'
loop_
_atom_site_label
_atom_site_type_symbol
_atom_site_fract_x
_atom_site_fract_y
_atom_site_fract_z
La1 La 0.000 0.000 0.000
In1 In 0.000 0.303 0.250
Co1 Co 0.000 0.358 0.750
O1 O 0.000 0.091 0.750
O2 O 0.000 0.373 0.541
# Crystal system = orthorhombic
# Energy = -6.364 eV/atom